Record 1
Here is a relaxed structure of CaDy2ThS4 from the Alexandria database. Energies are from PBE-GGA. Values from VASP.

Calculated values
* raw formation energy: -1.952 eV/atom
* calculated volume: 176.47 Å³/cell

Geometry as Quantum ESPRESSO input:
```
&SYSTEM
  ibrav = 0, nat = 8, ntyp = 4
/
ATOMIC_SPECIES
Ca 40.08 Ca.upf
Dy 162.50 Dy.upf
Th 232.04 Th.upf
S 32.06 S.upf
CELL_PARAMETERS angstrom
3.936 0.000 0.000
0.000 6.838 -0.139
0.000 2.405 6.508
ATOMIC_POSITIONS crystal
Ca 0.000 0.500 0.500
Dy 0.000 0.000 0.000
Dy 0.500 0.000 0.500
Th 0.500 0.500 0.000
S 0.000 0.760 0.741
S 0.000 0.240 0.259
S 0.500 0.756 0.251
S 0.500 0.244 0.749
```

---

Record 2
Here is a relaxed structure of LaOsSe2 from the Alexandria database. Energies are from PBE-GGA. Values from VASP.

Calculated values
* raw formation energy: -0.367 eV/atom
* calculated volume: 87.76 Å³/cell
* excess energy over the best structure of this formula in the dataset: 333.8 meV per atom

Geometry as Quantum ESPRESSO input:
```
&SYSTEM
  ibrav = 0, nat = 4, ntyp = 3
/
ATOMIC_SPECIES
La 138.91 La.upf
Os 190.23 Os.upf
Se 78.96 Se.upf
CELL_PARAMETERS angstrom
-0.648 -3.653 0.327
3.110 -0.372 2.014
-3.301 1.059 5.293
ATOMIC_POSITIONS crystal
La 0.000 0.000 0.471
Os 0.500 0.500 0.839
Se 0.000 0.000 0.933
Se 0.500 0.500 0.257
```

---

Record 3
Here is a relaxed structure of MgCrOs4 from the Alexandria database. Energies are from PBE-GGA. Values from VASP.

Calculated values
* energy of formation from the pure elements: 0.470 eV per atom
* calculated volume: 96.92 Å³/cell

Geometry as Quantum ESPRESSO input:
```
&SYSTEM
  ibrav = 0, nat = 6, ntyp = 3
/
ATOMIC_SPECIES
Mg 24.30 Mg.upf
Cr 52.00 Cr.upf
Os 190.23 Os.upf
CELL_PARAMETERS angstrom
0.000 3.646 3.646
3.646 0.000 3.646
3.646 3.646 0.000
ATOMIC_POSITIONS crystal
Mg 0.000 0.000 0.000
Cr 0.750 0.750 0.750
Os 0.874 0.375 0.375
Os 0.375 0.375 0.874
Os 0.375 0.874 0.375
Os 0.375 0.375 0.375
```

---

Record 4
Here is a relaxed structure of Sm3PdCl3 from the Alexandria database. Energies are from PBE-GGA. Values from VASP.

Calculated values
* raw formation energy: -1.506 eV/atom
* calculated volume: 798.12 Å³/cell

Geometry as Quantum ESPRESSO input:
```
&SYSTEM
  ibrav = 0, nat = 28, ntyp = 3
/
ATOMIC_SPECIES
Sm 150.36 Sm.upf
Pd 106.42 Pd.upf
Cl 35.45 Cl.upf
CELL_PARAMETERS angstrom
9.542 0.000 -3.374
-4.771 8.264 -3.374
0.000 0.000 10.121
ATOMIC_POSITIONS crystal
Sm 0.981 0.491 0.241
Sm 0.509 0.019 0.259
Sm 0.250 0.009 0.491
Sm 0.991 0.750 0.009
Sm 0.991 0.241 0.481
Sm 0.759 0.009 0.019
Sm 0.741 0.481 0.491
Sm 0.759 0.750 0.241
Sm 0.519 0.259 0.009
Sm 0.250 0.241 0.259
Sm 0.741 0.259 0.750
Sm 0.509 0.491 0.750
Pd 0.750 0.500 0.000
Pd 0.500 0.250 0.500
Pd 0.750 0.250 0.250
Pd 0.000 0.000 0.250
Cl 0.248 0.998 0.996
Cl 0.750 0.752 0.748
Cl 0.496 0.748 0.998
Cl 0.002 0.250 0.998
Cl 0.252 0.748 0.250
Cl 0.498 0.502 0.250
Cl 0.248 0.250 0.752
Cl 0.252 0.504 0.502
Cl 0.750 0.998 0.502
Cl 0.004 0.502 0.752
Cl 0.002 0.752 0.504
Cl 0.498 0.996 0.748
```

---

Record 5
Here is a relaxed structure of Li6AcGa2 from the Alexandria database. Energies are from PBE-GGA. Values from VASP.

Calculated values
* energy of formation from the pure elements: -0.189 eV per atom
* calculated volume: 194.90 Å³/cell
* excess energy over the best structure of this formula in the dataset: 0.0 meV per atom

Geometry as Quantum ESPRESSO input:
```
&SYSTEM
  ibrav = 0, nat = 9, ntyp = 3
/
ATOMIC_SPECIES
Li 6.94 Li.upf
Ac 227.00 Ac.upf
Ga 69.72 Ga.upf
CELL_PARAMETERS angstrom
4.512 0.000 0.000
0.000 4.512 0.000
0.000 0.000 9.575
ATOMIC_POSITIONS crystal
Li 0.000 0.500 0.297
Li 0.500 0.000 0.297
Li 0.000 0.500 0.703
Li 0.500 0.000 0.703
Li 0.500 0.500 0.500
Li 0.000 0.000 0.500
Ac 0.000 0.000 0.000
Ga 0.500 0.500 0.135
Ga 0.500 0.500 0.865
```

---

Record 6
Here is a relaxed structure of Dy3Mg3Cd2 from the Alexandria database. Energies are from PBE-GGA. Values from VASP.

Calculated values
* energy of formation from the pure elements: -0.183 eV per atom
* calculated volume: 203.28 Å³/cell
* excess energy over the best structure of this formula in the dataset: 0.0 meV per atom

Geometry as Quantum ESPRESSO input:
```
&SYSTEM
  ibrav = 0, nat = 8, ntyp = 3
/
ATOMIC_SPECIES
Dy 162.50 Dy.upf
Mg 24.30 Mg.upf
Cd 112.41 Cd.upf
CELL_PARAMETERS angstrom
4.995 0.000 1.505
2.271 4.449 1.505
-0.029 -0.018 9.136
ATOMIC_POSITIONS crystal
Dy 0.126 0.126 0.622
Dy 0.877 0.877 0.370
Dy 0.373 0.373 0.880
Mg 0.251 0.251 0.246
Mg 0.748 0.748 0.755
Mg 0.624 0.624 0.128
Cd 0.000 0.000 0.000
Cd 0.501 0.501 0.498
```

---

Record 7
Here is a relaxed structure of Cs2MnH6 from the Alexandria database. Energies are from PBE-GGA. Values from VASP.

Calculated values
* calculated volume: 332.73 Å³/cell
* excess energy over the best structure of this formula in the dataset: 0.0 meV per atom

Geometry as Quantum ESPRESSO input:
```
&SYSTEM
  ibrav = 0, nat = 18, ntyp = 3
/
ATOMIC_SPECIES
Cs 132.91 Cs.upf
Mn 54.94 Mn.upf
H 1.01 H.upf
CELL_PARAMETERS angstrom
-5.458 -0.135 3.023
0.847 -3.538 -5.071
3.329 -7.346 5.682
ATOMIC_POSITIONS crystal
Cs 0.000 0.000 0.600
Cs 0.000 0.000 0.100
Cs 0.333 0.667 0.868
Cs 0.667 0.333 0.368
Mn 0.333 0.667 0.267
Mn 0.667 0.333 0.767
H 0.449 0.898 0.159
H 0.551 0.449 0.659
H 0.898 0.449 0.659
H 0.102 0.551 0.159
H 0.449 0.551 0.159
H 0.551 0.102 0.659
H 0.804 0.607 0.846
H 0.196 0.804 0.346
H 0.607 0.804 0.346
H 0.393 0.196 0.846
H 0.804 0.196 0.846
H 0.196 0.393 0.346
```

---

Record 8
Here is a relaxed structure of InFeP2S from the Alexandria database. Energies are from PBE-GGA. Values from VASP.

Calculated values
* raw formation energy: 1.415 eV/atom
* calculated volume: 123.93 Å³/cell
* excess energy over the best structure of this formula in the dataset: 1150.7 meV per atom

Geometry as Quantum ESPRESSO input:
```
&SYSTEM
  ibrav = 0, nat = 5, ntyp = 4
/
ATOMIC_SPECIES
P 30.97 P.upf
S 32.06 S.upf
Fe 55.84 Fe.upf
In 114.82 In.upf
CELL_PARAMETERS angstrom
4.991 0.000 0.000
0.000 4.991 0.000
0.000 0.000 4.976
ATOMIC_POSITIONS crystal
P 0.000 0.500 0.000
P 0.500 0.000 0.000
S 0.000 0.000 0.500
Fe 0.500 0.500 0.500
In 0.000 0.000 0.000
```

---

Magnetization for every record listed, in sequence, given in μB per atom: 0.000, 0.236, 0.294, 0.000, 0.000, 0.000, 0.333, 0.620.